# PBE Na3AcAg8, relaxed
data_Na3AcAg8
_symmetry_space_group_name_H-M 'R 3 m'
_symmetry_Int_Tables_number 160
_symmetry_space_group_name_Hall 'R 3 -2"'
_cell_length_a 5.7712
_cell_length_b 5.7712
_cell_length_c 28.0676
_cell_angle_alpha 90.00
_cell_angle_beta 90.00
_cell_angle_gamma 120.00
loop_
_atom_site_label
_atom_site_fract_x
_atom_site_fract_y
_atom_site_fract_z
Na1 0.0000 0.0000 0.0000
Na2 0.0000 0.0000 0.1173
Na3 0.0000 0.0000 0.6332
Ac1 0.0000 0.0000 0.5024
Ag1 0.0000 0.0000 0.3150
Ag2 0.0000 0.0000 0.8139
Ag3 0.1670 0.3340 0.3974
Ag4 0.1673 0.3345 0.8991
# Offset from the most stable computed form   6 meV per atom
# Fermi-level density of states   6.48 states/eV/f.u.

***

# PBE NaAcAg, relaxed
data_NaAcAg
_symmetry_space_group_name_H-M 'F -4 3 m'
_symmetry_Int_Tables_number 216
_symmetry_space_group_name_Hall 'F -4 2 3'
_cell_length_a 7.503
_cell_length_b 7.503
_cell_length_c 7.503
_cell_angle_alpha 90.00
_cell_angle_beta 90.00
_cell_angle_gamma 90.00
loop_
_atom_site_label
_atom_site_fract_x
_atom_site_fract_y
_atom_site_fract_z
Na1 0.000 0.000 0.000
Ac1 0.000 0.000 0.500
Ag1 0.250 0.250 0.250
# Offset from the most stable computed form   127 meV per atom
# Fermi-level density of states   2.44 states/eV/f.u.

***

# PBE NaAcAg, relaxed
data_NaAcAg
_symmetry_space_group_name_H-M 'I 4 m m'
_symmetry_Int_Tables_number 107
_symmetry_space_group_name_Hall 'I 4 -2'
_cell_length_a 3.928
_cell_length_b 3.928
_cell_length_c 12.301
_cell_angle_alpha 90.00
_cell_angle_beta 90.00
_cell_angle_gamma 90.00
loop_
_atom_site_label
_atom_site_fract_x
_atom_site_fract_y
_atom_site_fract_z
Na1 0.000 0.000 0.000
Ac1 0.000 0.000 0.283
Ag1 0.000 0.000 0.632
# Offset from the most stable computed form   98 meV per atom
# Fermi-level density of states   3.13 states/eV/f.u.

***

# PBE NaAcAg3, relaxed
data_NaAcAg3
_symmetry_space_group_name_H-M 'C m c m'
_symmetry_Int_Tables_number 63
_symmetry_space_group_name_Hall '-C 2c 2'
_cell_length_a 3.972
_cell_length_b 28.041
_cell_length_c 4.827
_cell_angle_alpha 90.00
_cell_angle_beta 90.00
_cell_angle_gamma 90.00
loop_
_atom_site_label
_atom_site_fract_x
_atom_site_fract_y
_atom_site_fract_z
Na1 0.000 0.211 0.250
Ac1 0.000 0.076 0.750
Ag1 0.000 0.323 0.250
Ag2 0.000 0.374 0.750
Ag3 0.000 0.475 0.750
# Fermi-level density of states   2.82 states/eV/f.u.
# E_tot   -0.10900 Ha/atom

***

# PBE NaAcAg2, relaxed
data_NaAcAg2
_symmetry_space_group_name_H-M 'P 4/m m m'
_symmetry_Int_Tables_number 123
_symmetry_space_group_name_Hall '-P 4 2'
_cell_length_a 3.844
_cell_length_b 3.844
_cell_length_c 7.296
_cell_angle_alpha 90.00
_cell_angle_beta 90.00
_cell_angle_gamma 90.00
loop_
_atom_site_label
_atom_site_fract_x
_atom_site_fract_y
_atom_site_fract_z
Na1 0.000 0.000 0.000
Ac1 0.000 0.000 0.500
Ag1 0.500 0.500 0.218
# Fermi-level density of states   2.60 states/eV/f.u.
# E_tot   -0.10566 Ha/atom

***

# PBE NaAc2Ag3, relaxed
data_NaAc2Ag3
_symmetry_space_group_name_H-M 'F m m m'
_symmetry_Int_Tables_number 69
_symmetry_space_group_name_Hall '-F 2 2'
_cell_length_a 8.008
_cell_length_b 10.019
_cell_length_c 17.215
_cell_angle_alpha 90.00
_cell_angle_beta 90.00
_cell_angle_gamma 90.00
loop_
_atom_site_label
_atom_site_fract_x
_atom_site_fract_y
_atom_site_fract_z
Na1 0.000 0.000 0.167
Ac1 0.244 0.000 0.500
Ac2 0.250 0.250 0.250
Ag1 0.000 0.000 0.335
Ag2 0.000 0.249 0.417
# Fermi-level density of states   4.51 states/eV/f.u.
# E_tot   -0.11549 Ha/atom